Entry 1:
4
Lattice="0.0000 3.7301 3.7301 3.7301 0.0000 3.7301 3.7301 3.7301 0.0000" Properties=species:S:1:pos:R:3 comment="PBE CeErTlZn, relaxed" ef_ev_per_atom=-0.238 space_group="F-43m, No. 216" pbc="T T T"
Ce 0.0000 0.0000 0.0000
Er 3.7301 3.7301 3.7301
Tl 5.5951 5.5951 5.5951
Zn 1.8650 1.8650 1.8650

***

Entry 2:
6
Lattice="4.1243 0.0000 0.0000 0.0000 4.1243 0.0000 0.0000 0.0000 6.6198" Properties=species:S:1:pos:R:3 comment="PBE RbLaF4, relaxed" raw_formation_energy_ev_per_atom=-3.725 space_group="P4/mmm, No. 123" pbc="T T T"
Rb 0.0000 0.0000 0.0000
La 2.0621 2.0621 3.3099
F 0.0000 2.0621 1.9725
F 0.0000 2.0621 4.6472
F 2.0621 0.0000 1.9725
F 2.0621 0.0000 4.6472

***

Entry 3:
4
Lattice="4.4743 0.0000 0.0000 0.0000 1.8947 5.4866 0.0000 -1.8947 5.4866" Properties=species:S:1:pos:R:3 comment="PBE SmTmGaPt, relaxed" ef_ev_per_atom=-0.908 space_group="Amm2, No. 38" pbc="T T T"
Sm 0.0000 0.0000 0.0000
Tm 2.2372 0.0000 3.0840
Ga 0.0000 0.0000 7.9369
Pt 2.2372 0.0000 6.2787

***

Entry 4:
4
Lattice="3.3514 0.0000 0.0000 -1.6757 2.9024 0.0000 0.0000 0.0000 8.6529" Properties=species:S:1:pos:R:3 comment="PBE SO, relaxed" raw_formation_energy_ev_per_atom=0.598 space_group="P6_3mc, No. 186" pbc="T T T"
S 0.0000 1.9349 0.0000
S 1.6757 0.9675 4.3264
O 0.0000 1.9349 4.7388
O 1.6757 0.9675 0.4123

***

Entry 5:
4
Lattice="4.1141 0.0000 0.0000 0.0000 1.6813 4.7099 0.0000 -1.6813 4.7099" Properties=species:S:1:pos:R:3 comment="PBE Si2WSe, relaxed" raw_formation_energy_ev_per_atom=0.240 space_group="Amm2, No. 38" pbc="T T T"
Si 0.0000 0.0000 0.0000
Si 2.0570 0.0000 4.2020
W 2.0570 0.0000 1.4342
Se 0.0000 0.0000 7.0277

***

Entry 6:
4
Lattice="2.4629 1.4219 8.6897 -2.4629 1.4219 8.6897 0.0000 -2.8439 8.6897" Properties=species:S:1:pos:R:3 comment="PBE KTlI2, relaxed" raw_formation_energy_ev_per_atom=-1.050 space_group="R3m, No. 160" pbc="T T T"
K 0.0000 0.0000 0.0000
Tl 0.0000 0.0000 21.6909
I 0.0000 0.0000 6.4651
I 0.0000 0.0000 10.8709

***

Entry 7:
5
Lattice="4.7864 0.0000 0.0000 0.0000 4.7864 0.0000 0.0000 0.0000 3.2548" Properties=species:S:1:pos:R:3 comment="PBE TlVHRh2, relaxed" space_group="P4/mmm, No. 123" e_tot_ev_per_atom=-5.530 pbc="T T T"
Tl 0.0000 0.0000 0.0000
V 2.3932 2.3932 1.6274
H 2.3932 2.3932 0.0000
Rh 0.0000 2.3932 1.6274
Rh 2.3932 0.0000 1.6274

***

Entry 8:
7
Lattice="8.3225 -1.7908 0.0000 8.3225 1.7908 0.0000 -3.9596 0.0000 7.6073" Properties=species:S:1:pos:R:3 comment="PBE Tb2Pm4Hg, relaxed" ef_ev_per_atom=-0.012 space_group="C2/m, No. 12" pbc="T T T"
Tb 3.0442 0.0000 1.0514
Tb 9.6412 0.0000 6.5559
Pm -1.3967 0.0000 5.3441
Pm 3.7480 0.0000 4.6783
Pm 8.9374 0.0000 2.9290
Pm 14.0821 0.0000 2.2632
Hg 0.0000 0.0000 0.0000